# 1
Here is an optimized crystal structure of Pr5NdDy5 from the Alexandria database. Energies are from PBE.

## Properties
**Relative energy among the computed polymorphs**: 0.0269 eV per atom
**Fermi-level density of states**: 1.94 states/eV/atom
**E_tot**: -4.42 eV per atom
**Formation energy**: 291 kJ/mol of formula units
**Size of the total moment**: 0.00 Bohr magnetons per cell
**SG**: P-6m2, No. 187

abc: 6.1848 6.1848 11.8331
angles: 90.00 90.00 120.00
Closest atoms and distances in Å follow each position.
Fractional coordinates of all 11 atoms:
Pr 0.0000 0.0000 0.0000  2 Dy 3.15
Pr 0.3333 0.6667 0.3198  9 Dy 3.63-3.76, 1 Nd 3.78
Pr 0.3333 0.6667 0.6802  9 Dy 3.63-3.76, 1 Nd 3.78
Pr 0.6667 0.3333 0.1558  7 Pr 3.69-4.06, 3 Dy 3.80, 3 Nd 4.02
Pr 0.6667 0.3333 0.8442  7 Pr 3.69-4.06, 3 Dy 3.80, 3 Nd 4.02
Nd 0.3333 0.6667 0.0000  5 Pr 3.57-3.78
Dy 0.0000 0.0000 0.2663  1 Pr 3.15, 3 Dy 3.29
Dy 0.0000 0.0000 0.7337  1 Pr 3.15, 3 Dy 3.29
Dy 0.3331 0.1666 0.5000  6 Dy 3.09-3.29
Dy 0.8334 0.1666 0.5000  6 Dy 3.09-3.29
Dy 0.8334 0.6669 0.5000  6 Dy 3.09-3.29



# 2
Here is an optimized crystal structure of Pr2Nd3Dy6 from the Alexandria database. Energies are from PBE.

## Properties
**Relative energy among the computed polymorphs**: 0.0000 eV per atom
**Fermi-level density of states**: 1.45 states/eV/atom
**E_tot**: -4.50 eV per atom
**Formation energy**: 193 kJ/mol of formula units
**Size of the total moment**: 0.00 Bohr magnetons per cell
**SG**: C2/m, No. 12

abc: 6.2137 6.2137 11.7662
angles: 95.07 95.07 120.11
Closest atoms and distances in Å follow each position.
Fractional coordinates of all 11 atoms:
Pr 0.1666 0.8334 0.0000  6 Dy 3.56, 3 Pr 3.58-3.59
Pr 0.8334 0.1666 0.0000  6 Dy 3.56, 3 Pr 3.58-3.59
Nd 0.0000 0.0000 0.5000  6 Dy 3.56, 6 Nd 3.57-3.62
Nd 0.3358 0.6642 0.5000  6 Nd 3.54-3.62, 6 Dy 3.54-3.57
Nd 0.6642 0.3358 0.5000  6 Nd 3.54-3.62, 6 Dy 3.54-3.57
Dy 0.0835 0.4165 0.7500  3 Nd 3.56-3.57, 2 Pr 3.56, 6 Dy 3.58-3.59
Dy 0.2504 0.2504 0.2504  3 Nd 3.54-3.56, 2 Pr 3.56, 6 Dy 3.58-3.59
Dy 0.4165 0.0835 0.7500  3 Nd 3.56-3.57, 2 Pr 3.56, 6 Dy 3.58-3.59
Dy 0.5835 0.9165 0.2500  3 Nd 3.56-3.57, 2 Pr 3.56, 6 Dy 3.58-3.59
Dy 0.7496 0.7496 0.7496  3 Nd 3.54-3.56, 2 Pr 3.56, 6 Dy 3.58-3.59
Dy 0.9165 0.5835 0.2500  3 Nd 3.56-3.57, 2 Pr 3.56, 6 Dy 3.58-3.59



# 3
Here is an optimized crystal structure of Pr8Nd2Dy3 from the Alexandria database. Energies are from PBE.

## Properties
**Relative energy among the computed polymorphs**: 0.0381 eV per atom
**Fermi-level density of states**: 1.46 states/eV/atom
**E_tot**: -4.54 eV per atom
**Formation energy**: 244 kJ/mol of formula units
**Size of the total moment**: 0.00 Bohr magnetons per cell
**SG**: P2/m, No. 10

abc: 7.7612 5.7808 11.1265
angles: 90.00 110.37 90.00
Closest atoms and distances in Å follow each position.
Fractional coordinates of all 13 atoms:
Pr 0.1005 0.0000 0.2932  1 Dy 3.15, 1 Pr 3.18
Pr 0.1707 0.5000 0.8428  2 Nd 3.43, 4 Pr 3.59
Pr 0.3091 0.0000 0.7077  1 Dy 3.15, 1 Pr 3.18
Pr 0.3697 0.5000 0.2398  2 Dy 3.50, 2 Nd 3.69, 4 Pr 3.73
Pr 0.6303 0.5000 0.7602  2 Dy 3.50, 2 Nd 3.69, 4 Pr 3.73
Pr 0.6909 0.0000 0.2923  1 Dy 3.15, 1 Pr 3.18
Pr 0.8293 0.5000 0.1572  2 Nd 3.43, 4 Pr 3.59
Pr 0.8995 0.0000 0.7068  1 Dy 3.15, 1 Pr 3.18
Nd 0.2586 0.0000 0.0198  8 Pr 3.43-3.69
Nd 0.7414 0.0000 0.9802  8 Pr 3.43-3.69
Dy 0.2156 0.5000 0.5003  3 Dy 3.34-3.64, 6 Pr 3.50-3.61
Dy 0.5000 0.0000 0.5000  4 Pr 3.15
Dy 0.7844 0.5000 0.4997  3 Dy 3.34-3.64, 6 Pr 3.50-3.61



# 4
Here is an optimized crystal structure of Pr5Nd2Dy12 from the Alexandria database. Energies are from PBE.

## Properties
**Relative energy among the computed polymorphs**: 0.0000 eV per atom
**Fermi-level density of states**: 1.39 states/eV/atom
**E_tot**: -4.54 eV per atom
**Formation energy**: 229 kJ/mol of formula units
**Size of the total moment**: 0.00 Bohr magnetons per cell
**SG**: C2/m, No. 12

abc: 9.1624 9.1624 8.7307
angles: 91.82 91.82 61.38
Closest atoms and distances in Å follow each position.
Fractional coordinates of all 19 atoms:
Pr 0.0000 0.0000 0.0000  10 Dy 3.46-3.80, 2 Pr 3.66
Pr 0.2304 0.2304 0.0715  8 Dy 3.42-3.68, 2 Pr 3.66-3.67
Pr 0.2928 0.2928 0.4805  8 Dy 3.50-3.73, 2 Nd 3.65, 1 Pr 3.67
Pr 0.7072 0.7072 0.5195  8 Dy 3.50-3.73, 2 Nd 3.65, 1 Pr 3.67
Pr 0.7696 0.7696 0.9285  8 Dy 3.42-3.68, 2 Pr 3.66-3.67
Nd 0.3246 0.6754 0.5000  1 Nd 3.28, 8 Dy 3.37-3.63, 2 Pr 3.65
Nd 0.6754 0.3246 0.5000  1 Nd 3.28, 8 Dy 3.37-3.63, 2 Pr 3.65
Dy 0.0302 0.6735 0.2591  4 Dy 3.34-3.73, 1 Nd 3.37, 4 Pr 3.54-3.71
Dy 0.0758 0.0758 0.3767  3 Dy 3.28-3.56, 2 Nd 3.45, 2 Pr 3.46-3.50
Dy 0.1807 0.5604 0.8345  4 Pr 3.42-3.80, 5 Dy 3.43-3.57, 1 Nd 3.63
Dy 0.3265 0.9698 0.7409  4 Dy 3.34-3.73, 1 Nd 3.37, 4 Pr 3.54-3.71
Dy 0.4396 0.8193 0.1655  4 Pr 3.42-3.80, 5 Dy 3.43-3.57, 1 Nd 3.63
Dy 0.4431 0.4431 0.1632  2 Pr 3.42-3.71, 7 Dy 3.42-3.53, 2 Nd 3.46
Dy 0.5569 0.5569 0.8368  2 Pr 3.42-3.71, 7 Dy 3.42-3.53, 2 Nd 3.46
Dy 0.5604 0.1807 0.8345  4 Pr 3.42-3.80, 5 Dy 3.43-3.57, 1 Nd 3.63
Dy 0.6735 0.0302 0.2591  4 Dy 3.34-3.73, 1 Nd 3.37, 4 Pr 3.54-3.71
Dy 0.8193 0.4396 0.1655  4 Pr 3.42-3.80, 5 Dy 3.43-3.57, 1 Nd 3.63
Dy 0.9242 0.9242 0.6233  3 Dy 3.28-3.56, 2 Nd 3.45, 2 Pr 3.46-3.50
Dy 0.9698 0.3265 0.7409  4 Dy 3.34-3.73, 1 Nd 3.37, 4 Pr 3.54-3.71



What is the relative energy among the computed polymorphs in the fourth record? 0.0000 eV per atom



What is the formula in the first record? Pr5NdDy5



Which of these has the highest Fermi-level density of states? Pr5NdDy5



Look up the size of the total moment of the third one. 0.00 Bohr magnetons per cell